(1)
A relaxed structure of PrDyInPt, computed with PBE-GGA.

It has space group F-43m (No. 216), with a = 7.408 Å, b = 7.408 Å, c = 7.408 Å, α = 90.00°, β = 90.00° and γ = 90.00°. The distinct sites, in fractional coordinates, are Pr at (0.000, 0.000, 0.000), Dy at (0.000, 0.000, 0.500), In at (0.250, 0.250, 0.750) and Pt at (0.250, 0.250, 0.250).

The uncorrected energy comes out at -83.41 eV for the cell shown. The total magnetization comes out at 0.000 μB/atom.

---

(2)
A relaxed structure of Pr2DyIn2Rh5, computed with PBE-GGA.

It has space group P4/mbm (No. 127), with a = 10.527 Å, b = 10.527 Å, c = 3.735 Å, α = 90.00°, β = 90.00° and γ = 90.00°. The distinct sites, in fractional coordinates, are Pr at (0.171, 0.329, 0.000), Dy at (0.000, 0.000, 0.000), In at (0.127, 0.627, 0.000), Rh at (0.000, 0.500, 0.500) and Rh at (0.063, 0.797, 0.500).

The uncorrected energy comes out at -122.98 eV for the cell shown. The total magnetization comes out at 0.000 μB/atom.

---

(3)
A relaxed structure of PrDyInRh, computed with PBE-GGA.

It has space group F-43m (No. 216), with a = 7.356 Å, b = 7.356 Å, c = 7.356 Å, α = 90.00°, β = 90.00° and γ = 90.00°. The distinct sites, in fractional coordinates, are Pr at (0.000, 0.000, 0.000), Dy at (0.000, 0.000, 0.500), In at (0.250, 0.250, 0.250) and Rh at (0.250, 0.250, 0.750).

The uncorrected energy comes out at -85.43 eV for the cell shown. The total magnetization comes out at 0.000 μB/atom.

---

(4)
A relaxed structure of PrDyInRu, computed with PBE-GGA.

It has space group F-43m (No. 216), with a = 7.309 Å, b = 7.309 Å, c = 7.309 Å, α = 90.00°, β = 90.00° and γ = 90.00°. The distinct sites, in fractional coordinates, are Pr at (0.000, 0.000, 0.000), Dy at (0.000, 0.000, 0.500), In at (0.250, 0.250, 0.250) and Ru at (0.250, 0.250, 0.750).

The uncorrected energy comes out at -89.45 eV for the cell shown. The total magnetization comes out at 0.000 μB/atom.

---

(5)
A relaxed structure of PrDySc2In4, computed with PBE-GGA.

It has space group R-3m (No. 166, hexagonal axes), with a = 5.2347 Å, b = 5.2347 Å, c = 25.7283 Å, α = 90.00°, β = 90.00° and γ = 120.00°. The distinct sites, in fractional coordinates, are Pr at (0.0000, 0.0000, 0.0000), Dy at (0.0000, 0.0000, 0.5000), Sc at (0.0000, 0.0000, 0.2496), In at (0.0000, 0.0000, 0.1268) and In at (0.0000, 0.0000, 0.3771).

The uncorrected energy comes out at -109.19 eV for the cell shown. The total magnetization comes out at 0.000 μB/atom.

---

(6)
A relaxed structure of PrDyIn2Se4, computed with PBE-GGA.

It has space group P2/m (No. 10), with a = 7.344 Å, b = 4.235 Å, c = 8.102 Å, α = 90.00°, β = 107.52° and γ = 90.00°. The distinct sites, in fractional coordinates, are Pr at (0.000, 0.000, 0.000), Dy at (0.500, 0.500, 0.000), In at (0.000, 0.500, 0.500), In at (0.500, 0.000, 0.500), Se at (0.248, 0.500, 0.215) and Se at (0.273, 0.000, 0.790).

The calculation puts the formation energy (no corrections) at -10.311 eV/f.u. The uncorrected energy comes out at -39.11 eV for the cell shown. The total magnetization comes out at 0.000 μB/atom.